## Rb6BrCl2F3 (PBE)

Data for a relaxed structure of Rb6BrCl2F3.

Summary:
The size of the total moment comes out at 0.0 μB/f.u. As for the total energy: -3.63 eV per atom. The formation energy (no corrections) comes out at -2.233 eV/atom.

Geometry as POSCAR:
```
Rb6BrCl2F3
1.0
9.7136 -2.1841 0.0000
9.7136 2.1841 0.0000
-2.2387 0.0000 8.6746
Rb Br Cl F
6 1 2 3
direct
0.0084 0.0084 0.2189
0.3223 0.3223 0.4328
0.3389 0.3389 0.8981
0.6611 0.6611 0.1019
0.6777 0.6777 0.5672
0.9916 0.9916 0.7811
0.5000 0.5000 0.5000
0.1658 0.1658 0.8331
0.8342 0.8342 0.1669
0.1675 0.1675 0.3306
0.5000 0.5000 0.0000
0.8325 0.8325 0.6694
```

## BaLiLa2Se4 (PBE)

Data for a relaxed structure of BaLiLa2Se4.

Summary:
The size of the total moment comes out at 0.0 μB/f.u. As for the total energy: -5.34 eV per atom. The formation energy (no corrections) comes out at -1.890 eV/atom.

Geometry as POSCAR:
```
BaLiLa2Se4
1.0
2.1728 -7.2430 0.0000
2.1728 7.2430 0.0000
0.0000 0.0000 14.8878
Ba Li La Se
2 2 4 8
direct
0.1144 0.8856 0.7500
0.8856 0.1144 0.2500
0.1546 0.8454 0.2500
0.8454 0.1546 0.7500
0.3707 0.6293 0.5566
0.3707 0.6293 0.9434
0.6293 0.3707 0.0566
0.6293 0.3707 0.4434
0.0000 0.0000 0.0000
0.0000 0.0000 0.5000
0.2680 0.7320 0.1195
0.2680 0.7320 0.3805
0.4399 0.5601 0.7500
0.5601 0.4399 0.2500
0.7320 0.2680 0.6195
0.7320 0.2680 0.8805
```

## Mo2PtRh2 (PBE)

Data for a relaxed structure of Mo2PtRh2.

Summary:
The size of the total moment comes out at 0.0 μB/f.u. As for the total energy: -8.62 eV per atom. As for the formation energy: -0.69 eV per formula unit. The energy above the most stable polymorph in this dataset is 0.400 eV per formula unit.

Geometry as POSCAR:
```
Mo2PtRh2
1.0
2.1341 -6.5480 0.0000
2.1341 6.5480 0.0000
0.0000 0.0000 5.4361
Mo Pt Rh
4 2 4
direct
0.0099 0.9901 0.5000
0.2057 0.7943 0.5021
0.7943 0.2057 0.0021
0.9901 0.0099 0.0000
0.3968 0.6032 0.7569
0.6032 0.3968 0.2569
0.1961 0.8039 0.0052
0.3908 0.6092 0.2428
0.6092 0.3908 0.7428
0.8039 0.1961 0.5052
```

## LaReCl2 (PBE)

Data for a relaxed structure of LaReCl2.

Summary:
The size of the total moment comes out at 0.0 μB/f.u. As for the total energy: -5.51 eV per atom. The energy above the most stable polymorph in this dataset is 0.919 eV per formula unit. The formation energy (no corrections) comes out at -0.241 eV/atom.

Geometry as POSCAR:
```
LaReCl2
1.0
3.3799 0.0000 0.0000
0.0000 3.3799 0.0000
0.0000 0.0000 8.3041
La Re Cl
1 1 2
direct
0.0000 0.0000 0.0000
0.5000 0.5000 0.2668
0.0000 0.0000 0.3680
0.5000 0.5000 0.7803
```

## KMg2Sc (PBE)

Data for a relaxed structure of KMg2Sc.

Summary:
The size of the total moment comes out at 0.0 μB/f.u. As for the total energy: -2.34 eV per atom. As for the formation energy: 1.26 eV per formula unit. The energy above the most stable polymorph in this dataset is 0.609 eV per formula unit.

Geometry as POSCAR:
```
KMg2Sc
1.0
-1.6516 2.9564 6.1038
1.6516 -2.9564 6.1038
1.6516 2.9564 -6.1038
K Mg Sc
1 2 1
direct
0.0000 0.0000 0.0000
0.2669 0.7669 0.5000
0.4842 0.4842 0.0000
0.7096 0.2096 0.5000
```

## Cs3BaMg (PBE)

Data for a relaxed structure of Cs3BaMg.

Summary:
The size of the total moment comes out at 0.0 μB/f.u. As for the total energy: -0.88 eV per atom. As for the formation energy: 1.69 eV per formula unit.

Geometry as POSCAR:
```
Cs3BaMg
1.0
7.7036 0.0000 0.0000
0.0000 7.7036 0.0000
0.0000 0.0000 7.7036
Cs Ba Mg
3 1 1
direct
0.0000 0.0000 0.5000
0.0000 0.5000 0.0000
0.5000 0.0000 0.0000
0.5000 0.5000 0.5000
0.0000 0.0000 0.0000
```

## LiTbYLu (PBE)

Data for a relaxed structure of LiTbYLu.

Summary:
The size of the total moment comes out at 0.0 μB/f.u. As for the total energy: -4.22 eV per atom. As for the formation energy: 0.64 eV per formula unit.

Geometry as POSCAR:
```
LiTbYLu
1.0
0.0000 3.8483 3.8483
3.8483 0.0000 3.8483
3.8483 3.8483 0.0000
Li Tb Y Lu
1 1 1 1
direct
0.0000 0.0000 0.0000
0.2500 0.2500 0.2500
0.7500 0.7500 0.7500
0.5000 0.5000 0.5000
```

## TaTc2P (PBE)

Data for a relaxed structure of TaTc2P.

Summary:
The size of the total moment comes out at 0.0 μB/f.u. As for the total energy: -9.49 eV per atom. As for the formation energy: 0.02 eV per formula unit.

Geometry as POSCAR:
```
TaTc2P
1.0
1.4483 0.8362 8.2911
-1.4483 0.8362 8.2911
0.0000 -1.6723 8.2911
Ta Tc P
1 2 1
direct
0.0000 0.0000 0.0000
0.2414 0.2414 0.2414
0.4885 0.4885 0.4885
0.7503 0.7503 0.7503
```